Here is crystalline PmTiTl2 at its relaxed geometry from the Alexandria database. Energies are from PBE.

Properties
The formation energy comes out at 0.0134 eV/atom.

Cell: 6.1059 6.1059 6.1059 Å, 45.61 45.61 45.61°
Closest atoms and distances in Å follow each position.
Fractional coordinates of all 4 atoms:
Pm: 0.0000 0.0000 0.0000  6 Tl 3.22
Ti: 0.5000 0.5000 0.5000  6 Tl 2.92
Tl: 0.2293 0.2293 0.2293  3 Ti 2.92, 3 Pm 3.22
Tl: 0.7707 0.7707 0.7707  3 Ti 2.92, 3 Pm 3.22



Here is crystalline Ca2MgCl6 at its relaxed geometry from the Alexandria database. Energies are from PBE.

Properties
For the raw formation energy, the calculation gives -2.20 eV per atom.

Cell: 6.3101 6.3101 12.1166 Å, 90.00 90.00 90.00°
Closest atoms and distances in Å follow each position.
Fractional coordinates of all 18 atoms:
Ca: 0.0000 0.0000 0.1663  6 Cl 2.75-2.77
Ca: 0.0000 0.0000 0.8337  6 Cl 2.75-2.77
Ca: 0.5000 0.5000 0.3337  6 Cl 2.75-2.77
Ca: 0.5000 0.5000 0.6663  6 Cl 2.75-2.77
Mg: 0.0000 0.0000 0.5000  6 Cl 2.53-2.59
Mg: 0.5000 0.5000 0.0000  6 Cl 2.53-2.59
Cl: 0.1903 0.1903 0.3451  1 Mg 2.53, 2 Ca 2.75-2.77
Cl: 0.1903 0.1903 0.6549  1 Mg 2.53, 2 Ca 2.75-2.77
Cl: 0.2103 0.2103 0.0000  1 Mg 2.59, 2 Ca 2.75
Cl: 0.2897 0.7103 0.5000  1 Mg 2.59, 2 Ca 2.75
Cl: 0.3097 0.6903 0.1549  1 Mg 2.53, 2 Ca 2.75-2.77
Cl: 0.3097 0.6903 0.8451  1 Mg 2.53, 2 Ca 2.75-2.77
Cl: 0.6903 0.3097 0.1549  1 Mg 2.53, 2 Ca 2.75-2.77
Cl: 0.6903 0.3097 0.8451  1 Mg 2.53, 2 Ca 2.75-2.77
Cl: 0.7103 0.2897 0.5000  1 Mg 2.59, 2 Ca 2.75
Cl: 0.7897 0.7897 0.0000  1 Mg 2.59, 2 Ca 2.75
Cl: 0.8097 0.8097 0.3451  1 Mg 2.53, 2 Ca 2.75-2.77
Cl: 0.8097 0.8097 0.6549  1 Mg 2.53, 2 Ca 2.75-2.77